# 1
Density functional theory data (PBE) for a geometry-optimized CuPt2 structure.

Calculated values
formation energy = -0.17 eV/f.u.
DFT total energy = -5.45 eV per atom

abc: 7.4528 7.4528 2.7299
angles: 90.00 90.00 120.00
Sites, in units of the cell vectors:
1 Pt 0.2992 0.0000 0.0000
2 Pt 0.0000 0.2992 0.0000
3 Cu 0.6667 0.3333 0.0000
4 Pt 0.0000 0.6334 0.5000
5 Cu 0.3333 0.6667 0.0000
6 Pt 0.6334 0.0000 0.5000
7 Pt 0.7008 0.7008 0.0000
8 Pt 0.3666 0.3666 0.5000
9 Cu 0.0000 0.0000 0.5000

# 2
Density functional theory data (PBE) for a geometry-optimized CuPt4 structure.

Calculated values
offset from the most stable computed form = 23.0 meV per atom
formation energy = -0.31 eV/f.u.
DFT total energy = -5.71 eV per atom

abc: 2.7701 2.7701 11.4571
angles: 83.06 83.06 60.00
Sites, in units of the cell vectors:
1 Pt 0.7987 0.7987 0.6038
2 Pt 0.2013 0.2013 0.3962
3 Pt 0.6043 0.6043 0.1871
4 Cu 0.0000 0.0000 0.0000
5 Pt 0.3957 0.3957 0.8129

# 3
Density functional theory data (PBE) for a geometry-optimized CuPt2 structure.

Calculated values
formation energy = -0.03 eV/f.u.
DFT total energy = -5.40 eV per atom

abc: 12.2177 12.2177 12.2177
angles: 167.17 167.17 18.19
Sites, in units of the cell vectors:
1 Pt 0.3265 0.8265 0.5000
2 Pt 0.1735 0.6735 0.5000
3 Cu 0.0000 0.0000 0.0000
4 Pt 0.5765 0.5765 0.0000
5 Cu 0.7500 0.2500 0.5000
6 Pt 0.4235 0.4235 0.0000

# 4
Density functional theory data (PBE) for a geometry-optimized CuPt2 structure.

Calculated values
formation energy = -0.30 eV/f.u.
DFT total energy = -5.49 eV per atom

abc: 6.6917 4.7669 5.5003
angles: 90.00 90.00 89.88
Sites, in units of the cell vectors:
1 Pt 0.6750 0.1735 0.7515
2 Pt 0.3316 0.8300 0.7503
3 Pt 0.6750 0.6735 0.9985
4 Pt 0.9917 0.9931 0.4985
5 Pt 0.3350 0.3366 0.4997
6 Pt 0.9917 0.4931 0.2515
7 Cu 0.9975 0.5007 0.7514
8 Cu 0.9975 0.0007 0.9986
9 Cu 0.6692 0.1660 0.2514
10 Cu 0.6692 0.6660 0.4986
11 Pt 0.3316 0.3300 0.9997
12 Pt 0.3350 0.8366 0.2503

# 5
Density functional theory data (PBE) for a geometry-optimized CuPt2 structure.

Calculated values
formation energy = -0.28 eV/f.u.
DFT total energy = -5.49 eV per atom

abc: 2.7348 2.7348 6.9838
angles: 78.71 78.71 60.00
Sites, in units of the cell vectors:
1 Cu 0.0000 0.0000 0.0000
2 Pt 0.2277 0.2277 0.3170
3 Pt 0.7723 0.7723 0.6830

# 6
Density functional theory data (PBE) for a geometry-optimized Cu7Pt5 structure.

Calculated values
offset from the most stable computed form = 2.1 meV per atom
formation energy = -1.72 eV/f.u.
DFT total energy = -5.05 eV per atom

abc: 4.7007 8.0191 4.6443
angles: 90.00 110.17 90.00
Sites, in units of the cell vectors:
1 Cu 0.0000 0.3295 0.0000
2 Pt 0.5000 0.3291 0.5000
3 Cu 0.0000 0.9990 0.0000
4 Pt 0.5000 0.6710 0.5000
5 Pt 0.0000 0.1555 0.5000
6 Pt 0.0000 0.5001 0.5000
7 Cu 0.0000 0.6700 0.0000
8 Pt 0.5000 0.8429 0.0000
9 Cu 0.0000 0.8333 0.5000
10 Cu 0.5000 0.1672 0.0000
11 Cu 0.5000 0.5020 0.0000
12 Cu 0.5000 0.0003 0.5000

Q: formation energy of number 1 (CuPt2)?
A: -0.17 eV/f.u.